# SrV2SeO8 (GGA+U, relaxed)
# - Total magnetization: 0.00 Bohr magnetons per cell
# - Density: 3.57 g/cm3
# - D(E_F): 0.000 states/eV per atom
# - E_tot: -80.89 eV for the cell shown
data_SrV2SeO8
_space_group_name_H-M_alt 'P 1'
_space_group_IT_number 1
_space_group_name_Hall 'P 1'
_cell_length_a 5.2243
_cell_length_b 5.2243
_cell_length_c 7.3596
_cell_angle_alpha 88.87
_cell_angle_beta 88.87
_cell_angle_gamma 66.67
loop_
_atom_site_label
_atom_site_type_symbol
_atom_site_fract_x
_atom_site_fract_y
_atom_site_fract_z
_atom_site_occupancy
V1 V 0.3650 0.3650 0.7847 1
V2 V 0.6350 0.6350 0.2153 1
O1 O 0.2860 0.2860 0.5792 1
O2 O 0.7733 0.7733 0.0424 1
O3 O 0.7798 0.2616 0.2030 1
Sr1 Sr 0.0000 0.0000 0.5000 1
O4 O 0.2616 0.7798 0.2030 1
O5 O 0.2267 0.2267 0.9576 1
Se1 Se 0.0000 0.0000 0.0000 1
O6 O 0.7384 0.2202 0.7970 1
O7 O 0.2202 0.7384 0.7970 1
O8 O 0.7140 0.7140 0.4208 1